Material: SnH2S3
Method: DFT, GGA-PBE
State: optimized geometry

Calculated values
Total magnetic moment ... 0.00 μB per atom
Space group ... P-1
Crystal system ... triclinic
Total energy ... -49.0 eV/cell

Structure (POSCAR):
```
SnH2S3
1.0
6.604 0.000 0.000
-3.251 6.476 0.000
-1.678 -1.206 7.450
Sn H S
2 4 6
Cartesian
-0.388 0.497 2.575 Sn
2.063 4.773 4.875 Sn
-2.198 3.254 5.297 H
-1.038 5.982 1.912 H
2.713 -0.712 5.538 H
3.874 2.016 2.153 H
-1.501 2.525 1.882 S
0.066 0.322 4.987 S
1.652 0.559 1.268 S
0.023 4.711 6.182 S
1.610 4.948 2.463 S
3.177 2.745 5.568 S
```

=====

Material: SnHS
Method: DFT, GGA-PBE
State: optimized geometry

Calculated values
Total magnetic moment ... 0.00 μB per atom
Space group ... I4mm
Crystal system ... tetragonal
Total energy ... -22.7 eV/cell

Structure (POSCAR):
```
SnHS
1.0
4.093 0.000 0.000
0.000 4.093 0.000
0.000 0.000 6.667
Sn H S
2 2 2
Cartesian
0.000 0.000 0.000 Sn
2.047 2.047 3.333 Sn
0.000 0.000 2.000 H
2.047 2.047 5.333 H
0.000 0.000 3.668 S
2.047 2.047 0.335 S
```

=====

Material: SnH2S
Method: DFT, GGA-PBE
State: optimized geometry

Calculated values
Total magnetic moment ... 0.00 μB per atom
Space group ... P2_1/c
Crystal system ... monoclinic
Total energy ... -59.1 eV/cell
Polymorph energy (0 for the lowest one) ... 223 meV/atom

Structure (POSCAR):
```
SnH2S
1.0
7.462 0.000 0.000
0.000 4.660 0.000
-7.442 0.000 8.454
Sn H S
4 8 4
Cartesian
-0.401 1.162 2.111 Sn
-4.122 1.168 6.338 Sn
4.142 3.492 2.116 Sn
0.421 3.498 6.343 Sn
-3.243 2.358 5.477 H
0.478 4.632 1.250 H
0.481 2.351 2.970 H
-3.240 4.639 7.197 H
3.261 0.021 1.256 H
-0.460 2.309 5.483 H
-0.457 0.028 7.204 H
3.263 2.302 2.977 H
-5.578 2.333 7.931 S
-1.857 4.657 3.704 S
1.878 0.003 4.749 S
5.599 2.327 0.523 S
```

=====

Material: SnH2S
Method: DFT, GGA-PBE
State: optimized geometry

Calculated values
Total magnetic moment ... 0.00 μB per atom
Space group ... I-42d
Crystal system ... tetragonal
Total energy ... -53.1 eV/cell
Polymorph energy (0 for the lowest one) ... 598 meV/atom

Structure (POSCAR):
```
SnH2S
1.0
3.924 0.000 0.000
0.000 3.924 0.000
0.000 0.000 13.728
Sn H S
4 8 4
Cartesian
0.000 0.000 0.000 Sn
0.000 1.962 3.432 Sn
1.962 0.000 10.296 Sn
1.962 1.962 6.864 Sn
0.194 0.981 1.716 H
0.981 2.156 5.148 H
0.981 3.731 12.012 H
1.769 0.981 8.580 H
2.156 2.943 8.580 H
2.943 0.194 12.012 H
2.943 1.769 5.148 H
3.731 2.943 1.716 H
0.000 0.000 6.864 S
0.000 1.962 10.296 S
1.962 0.000 3.432 S
1.962 1.962 0.000 S
```

=====

Material: SnH2S
Method: DFT, GGA-PBE
State: optimized geometry

Calculated values
Total magnetic moment ... 0.00 μB per atom
Space group ... Fm-3m
Crystal system ... cubic
Total energy ... -48.9 eV/cell
Polymorph energy (0 for the lowest one) ... 858 meV/atom

Structure (POSCAR):
```
SnH2S
1.0
5.802 0.000 0.000
0.000 5.802 0.000
0.000 0.000 5.802
Sn H S
4 8 4
Cartesian
0.000 0.000 0.000 Sn
0.000 2.901 2.901 Sn
2.901 0.000 2.901 Sn
2.901 2.901 0.000 Sn
1.450 1.450 1.450 H
1.450 1.450 4.351 H
1.450 4.351 1.450 H
1.450 4.351 4.351 H
4.351 1.450 1.450 H
4.351 1.450 4.351 H
4.351 4.351 1.450 H
4.351 4.351 4.351 H
0.000 0.000 2.901 S
0.000 2.901 0.000 S
2.901 0.000 0.000 S
2.901 2.901 2.901 S
```

=====

Material: SnHS
Method: DFT, GGA-PBE
State: optimized geometry

Calculated values
Total magnetic moment ... 0.00 μB per atom
Space group ... C2/m
Crystal system ... monoclinic
Total energy ... -49.2 eV/cell

Structure (POSCAR):
```
SnHS
1.0
20.254 0.000 0.000
0.000 4.124 0.000
-0.832 0.000 4.043
Sn H S
4 4 4
Cartesian
3.489 0.000 0.738 Sn
5.806 2.062 3.306 Sn
13.616 2.062 0.738 Sn
15.933 0.000 3.306 Sn
0.000 0.376 0.000 H
0.000 3.749 0.000 H
10.127 1.686 0.000 H
10.127 2.438 0.000 H
3.276 2.062 2.792 S
6.019 0.000 1.251 S
13.403 0.000 2.792 S
16.146 2.062 1.251 S
```

=====

Material: SnHS3
Method: DFT, GGA-PBE
State: optimized geometry

Calculated values
Total magnetic moment ... 0.19 μB per atom
Space group ... Pm-3m
Crystal system ... cubic
Total energy ... -15.0 eV/cell
Polymorph energy (0 for the lowest one) ... 538 meV/atom

Structure (POSCAR):
```
SnHS3
1.0
5.033 0.000 0.000
0.000 5.033 0.000
0.000 0.000 5.033
Sn H S
1 1 3
Cartesian
0.000 0.000 0.000 Sn
2.516 2.516 2.516 H
0.000 0.000 2.516 S
0.000 2.516 0.000 S
2.516 0.000 0.000 S
```

=====

Material: SnH2S
Method: DFT, GGA-PBE
State: optimized geometry

Calculated values
Total magnetic moment ... 0.00 μB per atom
Space group ... Cmcm
Crystal system ... orthorhombic
Total energy ... -62.7 eV/cell
Polymorph energy (0 for the lowest one) ... 0 meV/atom

Structure (POSCAR):
```
SnH2S
1.0
5.759 0.000 0.000
0.000 20.654 0.000
0.000 0.000 3.803
Sn H S
4 8 4
Cartesian
0.000 4.026 0.951 Sn
0.000 16.628 2.852 Sn
2.879 6.301 2.852 Sn
2.879 14.353 0.951 Sn
0.000 9.070 0.575 H
0.000 9.070 1.326 H
0.000 11.584 2.477 H
0.000 11.584 3.227 H
2.879 1.257 2.477 H
2.879 1.257 3.227 H
2.879 19.397 0.575 H
2.879 19.397 1.326 H
0.000 5.807 2.852 S
0.000 14.847 0.951 S
2.879 4.520 0.951 S
2.879 16.134 2.852 S
```

=====

Material: Sn4H3S4
Method: DFT, GGA-PBE
State: optimized geometry

Calculated values
Total magnetic moment ... 0.00 μB per atom
Space group ... P1
Crystal system ... triclinic
Total energy ... -43.5 eV/cell

Structure (POSCAR):
```
Sn4H3S4
1.0
3.554 0.000 0.000
1.661 5.877 0.000
0.035 2.091 11.017
Sn H S
4 3 4
Cartesian
0.000 0.000 0.000 Sn
1.706 6.842 5.618 Sn
3.448 4.202 3.191 Sn
3.482 5.065 8.651 Sn
1.669 3.232 3.389 H
1.707 4.118 8.931 H
1.825 1.914 5.475 H
1.671 6.157 3.004 S
1.707 7.035 8.398 S
3.437 4.038 0.483 S
3.487 4.883 6.002 S
```

=====

Material: SnHS
Method: DFT, GGA-PBE
State: optimized geometry

Calculated values
Total magnetic moment ... 0.00 μB per atom
Space group ... Fmm2
Crystal system ... orthorhombic
Total energy ... -44.5 eV/cell

Structure (POSCAR):
```
SnHS
1.0
3.210 0.000 0.000
0.000 6.342 0.000
0.000 0.000 11.748
Sn H S
4 4 4
Cartesian
0.000 0.000 0.000 Sn
0.000 3.171 5.874 Sn
1.605 0.000 5.874 Sn
1.605 3.171 0.000 Sn
0.000 0.000 8.612 H
0.000 3.171 2.738 H
1.605 0.000 2.738 H
1.605 3.171 8.612 H
0.000 0.000 2.483 S
0.000 3.171 8.357 S
1.605 0.000 8.357 S
1.605 3.171 2.483 S
```

=====

Material: SnHS
Method: DFT, GGA-PBE
State: optimized geometry

Calculated values
Total magnetic moment ... 0.00 μB per atom
Space group ... P-1
Crystal system ... triclinic
Total energy ... -24.5 eV/cell

Structure (POSCAR):
```
SnHS
1.0
3.807 0.000 0.000
0.000 5.722 0.000
-1.898 -1.751 6.762
Sn H S
2 2 2
Cartesian
0.003 0.566 2.218 Sn
1.906 3.405 4.544 Sn
0.004 0.941 6.425 H
1.905 3.029 0.338 H
0.002 3.415 2.763 S
1.907 0.556 4.000 S
```

=====

Material: SnHS3
Method: DFT, GGA-PBE
State: optimized geometry

Calculated values
Total magnetic moment ... 0.17 μB per atom
Space group ... R3m
Crystal system ... trigonal
Total energy ... -53.1 eV/cell
Polymorph energy (0 for the lowest one) ... 0 meV/atom

Structure (POSCAR):
```
SnHS3
1.0
6.952 0.000 0.000
-3.476 6.020 0.000
0.000 0.000 9.434
Sn H S
3 3 9
Cartesian
0.000 0.000 0.000 Sn
0.000 4.013 6.289 Sn
3.476 2.007 3.145 Sn
0.000 0.000 6.661 H
0.000 4.013 3.517 H
3.476 2.007 0.372 H
-1.470 3.165 4.157 S
0.000 1.698 7.302 S
-2.006 5.171 7.302 S
2.006 1.158 1.012 S
1.470 3.165 4.157 S
0.000 5.711 4.157 S
2.006 5.171 7.302 S
4.946 1.158 1.012 S
3.476 3.704 1.012 S
```